Y2HPtAu | GGA-PBE | relaxed

Values from the calculation:
Spin magnetization   0.00 μB/cell
Relative energy among the computed polymorphs   0 meV/atom
DFT total energy   -5.97 eV per atom
Symmetry   P4/mmm, No. 123
Fermi-level density of states   0.676 states/eV per atom

Cell and atoms, written as extended XYZ:
```
5
Lattice="-1.431 -4.602 -1.350 -0.140 -1.368 4.812 -3.551 1.047 0.194" Properties=species:S:1:pos:R:3 pbc="T T T"
H 0.000 0.000 0.000
Au -2.561 -2.462 1.828
Y -0.070 -0.684 2.406
Y -0.715 -2.301 -0.675
Pt -1.775 0.523 0.097
```